DFT (GGA-PBE) results for crystalline NaBeTlH2 at its relaxed geometry.

## Properties
Volume = 20.92 Å³ per atom
N(E_F) = 1.61 states/eV/f.u.
Total moment = 0.00 μB per atom
Final energy = -9.60 eV/cell

a b c (Å): 3.9409 3.9409 6.7340
angles (deg): 90.00 90.00 90.00
Last column: nearest neighbours and their distance in Å.
Fractional coordinates of all 5 atoms:
Be (0.5000, 0.5000, 0.5000)  4 Na 2.79
H (0.0000, 0.5000, 0.0000)  2 Tl 1.97
H (0.5000, 0.0000, 0.0000)  2 Tl 1.97
Na (0.0000, 0.0000, 0.5000)  4 Be 2.79
Tl (0.0000, 0.0000, 0.0000)  4 H 1.97

---

DFT (GGA-PBE) results for crystalline La4Mg3Ag10 at its relaxed geometry.

## Properties
Volume = 23.06 Å³ per atom
N(E_F) = 10.32 states/eV/f.u.
Total moment = 0.00 μB per atom
E_form = -301 meV per atom
Final energy = -116.24 eV/cell

a b c (Å): 8.8713 8.8713 10.4929
angles (deg): 90.00 90.00 108.29
Last column: nearest neighbours and their distance in Å.
Fractional coordinates of all 34 atoms:
La (0.8031, 0.8031, 0.2972)  7 Ag 3.01-3.30
Ag (0.1057, 0.8283, 0.7953)  3 Mg 2.95-3.23, 3 Ag 2.97-3.08, 3 La 3.16-3.26
Mg (0.0000, 0.0000, 0.0000)  8 Ag 2.88-2.95
Ag (0.1616, 0.4330, 0.4731)  2 Mg 2.88, 3 Ag 2.94-3.08, 1 La 3.16
Mg (0.4834, 0.9834, 0.7500)  4 Ag 2.88-2.95
Mg (0.5000, 0.5000, 0.5000)  8 Ag 2.88-2.95
Ag (0.5969, 0.5969, 0.0954)  5 Ag 2.84-2.97, 1 La 3.01
La (0.7022, 0.2978, 0.0000)  10 Ag 3.16-3.25
Mg (0.9834, 0.4834, 0.7500)  4 Ag 2.88-2.95
Ag (0.4031, 0.4031, 0.9046)  5 Ag 2.84-2.97, 1 La 3.01
Ag (0.4330, 0.1616, 0.4731)  2 Mg 2.88, 3 Ag 2.94-3.08, 1 La 3.16
Ag (0.3943, 0.6717, 0.2953)  3 Mg 2.95-3.23, 3 Ag 2.97-3.08, 3 La 3.16-3.26
La (0.1969, 0.1969, 0.7028)  7 Ag 3.01-3.30
La (0.7978, 0.2022, 0.5000)  10 Ag 3.16-3.25
Ag (0.3384, 0.0670, 0.9731)  2 Mg 2.88, 3 Ag 2.94-3.08, 1 La 3.16
Ag (0.6057, 0.3283, 0.7047)  3 Mg 2.95-3.23, 3 Ag 2.97-3.08, 3 La 3.16-3.26
Ag (0.9031, 0.9031, 0.5954)  5 Ag 2.84-2.97, 1 La 3.01
Ag (0.6616, 0.9330, 0.0269)  2 Mg 2.88, 3 Ag 2.94-3.08, 1 La 3.16
Mg (0.0166, 0.5166, 0.2500)  4 Ag 2.88-2.95
Mg (0.5166, 0.0166, 0.2500)  4 Ag 2.88-2.95
Ag (0.0969, 0.0969, 0.4046)  5 Ag 2.84-2.97, 1 La 3.01
Ag (0.9330, 0.6616, 0.0269)  2 Mg 2.88, 3 Ag 2.94-3.08, 1 La 3.16
La (0.3031, 0.3031, 0.2028)  7 Ag 3.01-3.30
Ag (0.6717, 0.3943, 0.2953)  3 Mg 2.95-3.23, 3 Ag 2.97-3.08, 3 La 3.16-3.26
Ag (0.5670, 0.8384, 0.5269)  2 Mg 2.88, 3 Ag 2.94-3.08, 1 La 3.16
Ag (0.0670, 0.3384, 0.9731)  2 Mg 2.88, 3 Ag 2.94-3.08, 1 La 3.16
Ag (0.3283, 0.6057, 0.7047)  3 Mg 2.95-3.23, 3 Ag 2.97-3.08, 3 La 3.16-3.26
Ag (0.8943, 0.1717, 0.2047)  3 Mg 2.95-3.23, 3 Ag 2.97-3.08, 3 La 3.16-3.26
Ag (0.1717, 0.8943, 0.2047)  3 Mg 2.95-3.23, 3 Ag 2.97-3.08, 3 La 3.16-3.26
Ag (0.8384, 0.5670, 0.5269)  2 Mg 2.88, 3 Ag 2.94-3.08, 1 La 3.16
La (0.2022, 0.7978, 0.5000)  10 Ag 3.16-3.25
La (0.2978, 0.7022, 0.0000)  10 Ag 3.16-3.25
La (0.6969, 0.6969, 0.7972)  7 Ag 3.01-3.30
Ag (0.8283, 0.1057, 0.7953)  3 Mg 2.95-3.23, 3 Ag 2.97-3.08, 3 La 3.16-3.26

---

DFT (GGA-PBE) results for crystalline In2WSe at its relaxed geometry.

## Properties
Volume = 20.98 Å³ per atom
N(E_F) = 2.86 states/eV/f.u.
Total moment = 0.00 μB per atom
Final energy = -19.67 eV/cell

a b c (Å): 2.8824 3.3770 8.6215
angles (deg): 90.00 90.00 90.00
Last column: nearest neighbours and their distance in Å.
Fractional coordinates of all 4 atoms:
In (0.0000, 0.0000, 0.9737)  2 In 2.88, 4 W 2.94
Se (0.5000, 0.5000, 0.2500)  2 Se 2.88
In (0.0000, 0.0000, 0.5263)  2 In 2.88, 4 W 2.94
W (0.5000, 0.5000, 0.7500)  2 W 2.88, 8 In 2.94